<P>
This record from OQMD via LeMat-Bulk describes a geometry-optimized TbNdSb2 structure. The functional is GGA-PBE.

Cell lengths 4.505, 4.505, 11.492 Å; angles 90.00, 90.00, 90.00 degrees
Fractional positions:
1 Nd 0.000 0.500 0.214
2 Nd 0.500 0.000 0.786
3 Sb 0.000 0.000 0.000
4 Sb 0.500 0.500 0.000
5 Sb 0.500 0.000 0.306
6 Sb 0.000 0.500 0.694
7 Tb 0.000 0.000 0.500
8 Tb 0.500 0.500 0.500

Values from the calculation:
The value obtained for the volume is 233.2 Å³/cell.

=====

<Q>
This record from OQMD via LeMat-Bulk describes a geometry-optimized TbNdSb2 structure. The functional is GGA-PBE.

Cell lengths 4.462, 4.462, 6.309 Å; angles 90.00, 90.00, 90.00 degrees
Fractional positions:
1 Nd 0.000 0.000 0.000
2 Sb 0.500 0.500 0.000
3 Sb 0.000 0.000 0.500
4 Tb 0.500 0.500 0.500

Values from the calculation:
The value obtained for the volume is 125.6 Å³/cell.

=====

Quick look at relative energies in meV per atom: <P> 325; <Q> 0.

=====

<P>
This record from OQMD via LeMat-Bulk describes a geometry-optimized NdSc2 structure. The functional is GGA-PBE.

Cell lengths 3.398, 3.398, 8.196 Å; angles 102.32, 102.32, 60.87 degrees
Fractional positions:
1 Nd 0.000 0.000 0.000
2 Sc 0.774 0.774 0.344
3 Sc 0.226 0.226 0.656

Values from the calculation:
The value obtained for the volume is 80.1 Å³/cell.

=====

<Q>
This record from OQMD via LeMat-Bulk describes a geometry-optimized NdSc2 structure. The functional is GGA-PBE.

Cell lengths 6.210, 6.210, 8.979 Å; angles 115.68, 115.68, 31.56 degrees
Fractional positions:
1 Nd 0.858 0.858 0.352
2 Nd 0.142 0.142 0.648
3 Sc 0.139 0.139 0.020
4 Sc 0.573 0.573 0.281
5 Sc 0.427 0.427 0.719
6 Sc 0.861 0.861 0.980

Values from the calculation:
The value obtained for the volume is 161.9 Å³/cell.

=====

Quick look at relative energies in meV per atom: <P> 0; <Q> 49.

=====

<P>
This record from OQMD via LeMat-Bulk describes a geometry-optimized NdScSi structure. The functional is GGA-PBE.

Cell lengths 4.878, 4.878, 4.878 Å; angles 60.00, 60.00, 60.00 degrees
Each line ends with the local moment (μB).
Fractional positions:
1 Nd 0.000 0.000 0.000  0.12
2 Sc 0.250 0.250 0.250  0.30
3 Si 0.750 0.750 0.750  -0.02

Values from the calculation:
The value obtained for the volume is 82.1 Å³/cell.

=====

<Q>
This record from OQMD via LeMat-Bulk describes a geometry-optimized NdScSi structure. The functional is GGA-PBE.

Cell lengths 4.798, 4.798, 4.798 Å; angles 60.00, 60.00, 60.00 degrees
Fractional positions:
1 Nd 0.250 0.250 0.250
2 Sc 0.750 0.750 0.750
3 Si 0.000 0.000 0.000

Values from the calculation:
The value obtained for the volume is 78.1 Å³/cell.

=====

<R>
This record from OQMD via LeMat-Bulk describes a geometry-optimized NdScSi structure. The functional is GGA-PBE.

Cell lengths 8.502, 8.502, 8.502 Å; angles 150.79, 150.79, 41.79 degrees
Each line ends with the local moment (μB).
Fractional positions:
1 Nd 0.323 0.323 0.000  0.23
2 Nd 0.677 0.677 0.000  0.23
3 Sc 0.500 0.000 0.500  0.22
4 Sc 0.000 0.500 0.500  0.18
5 Si 0.122 0.122 0.000  -0.02
6 Si 0.878 0.878 0.000  -0.02

Values from the calculation:
The value obtained for the volume is 146.1 Å³/cell.

=====

Quick look at relative energies in meV per atom: <P> 1089; <Q> 189; <R> 0.

=====

<P>
This record from OQMD via LeMat-Bulk describes a geometry-optimized NdScZn2Sn2 structure. The functional is GGA-PBE.

Cell lengths 4.471, 4.471, 15.829 Å; angles 90.00, 90.00, 120.00 degrees
Fractional positions:
1 Nd 0.000 0.000 0.000
2 Nd 0.000 0.000 0.500
3 Sc 0.000 0.000 0.250
4 Sc 0.000 0.000 0.750
5 Sn 0.333 0.667 0.122
6 Sn 0.333 0.667 0.378
7 Sn 0.667 0.333 0.622
8 Sn 0.667 0.333 0.878
9 Zn 0.667 0.333 0.166
10 Zn 0.667 0.333 0.334
11 Zn 0.333 0.667 0.666
12 Zn 0.333 0.667 0.834

Values from the calculation:
The value obtained for the volume is 274.0 Å³/cell.

=====

<Q>
This record from OQMD via LeMat-Bulk describes a geometry-optimized NdScZn2Sn2 structure. The functional is GGA-PBE.

Cell lengths 4.529, 4.529, 15.342 Å; angles 90.00, 90.00, 120.00 degrees
Fractional positions:
1 Nd 0.000 0.000 0.250
2 Nd 0.000 0.000 0.750
3 Sc 0.000 0.000 0.000
4 Sc 0.000 0.000 0.500
5 Sn 0.333 0.667 0.104
6 Sn 0.333 0.667 0.396
7 Sn 0.667 0.333 0.604
8 Sn 0.667 0.333 0.896
9 Zn 0.667 0.333 0.150
10 Zn 0.667 0.333 0.350
11 Zn 0.333 0.667 0.650
12 Zn 0.333 0.667 0.850

Values from the calculation:
The value obtained for the volume is 272.5 Å³/cell.

=====

Quick look at relative energies in meV per atom: <P> 0; <Q> 32.

=====

<P>
This record from OQMD via LeMat-Bulk describes a geometry-optimized NdScTa structure. The functional is GGA-PBE.

Cell lengths 4.856, 4.856, 4.856 Å; angles 60.00, 60.00, 60.00 degrees
Each line ends with the local moment (μB).
Fractional positions:
1 Nd 0.000 0.000 0.000  0.21
2 Sc 0.250 0.250 0.250  0.07
3 Ta 0.750 0.750 0.750  0.33

Values from the calculation:
The value obtained for the volume is 81.0 Å³/cell.

=====

<Q>
This record from OQMD via LeMat-Bulk describes a geometry-optimized NdScTa structure. The functional is GGA-PBE.

Cell lengths 4.896, 4.896, 4.896 Å; angles 60.00, 60.00, 60.00 degrees
Fractional positions:
1 Nd 0.250 0.250 0.250
2 Sc 0.000 0.000 0.000
3 Ta 0.750 0.750 0.750

Values from the calculation:
The value obtained for the volume is 83.0 Å³/cell.

=====

Quick look at relative energies in meV per atom: <P> 200; <Q> 0.

=====

<P>
This record from OQMD via LeMat-Bulk describes a geometry-optimized NdScTl structure. The functional is GGA-PBE.

Cell lengths 5.354, 5.354, 6.601 Å; angles 90.00, 90.00, 120.00 degrees
Each line ends with the local moment (μB).
Fractional positions:
1 Nd 0.333 0.667 0.250  0.13
2 Nd 0.667 0.333 0.750  0.13
3 Sc 0.000 0.000 0.000  0.44
4 Sc 0.000 0.000 0.500  0.43
5 Tl 0.667 0.333 0.250  -0.01
6 Tl 0.333 0.667 0.750  -0.01

Values from the calculation:
The value obtained for the volume is 163.9 Å³/cell.

=====

<Q>
This record from OQMD via LeMat-Bulk describes a geometry-optimized NdScTl structure. The functional is GGA-PBE.

Cell lengths 5.103, 5.103, 5.103 Å; angles 60.00, 60.00, 60.00 degrees
Fractional positions:
1 Nd 0.250 0.250 0.250
2 Sc 0.750 0.750 0.750
3 Tl 0.000 0.000 0.000

Values from the calculation:
The value obtained for the volume is 94.0 Å³/cell.

=====

<R>
This record from OQMD via LeMat-Bulk describes a geometry-optimized NdScTl structure. The functional is GGA-PBE.

Cell lengths 4.561, 4.561, 8.847 Å; angles 104.87, 104.87, 90.00 degrees
Fractional positions:
1 Nd 0.329 0.329 0.157
2 Nd 0.671 0.671 0.843
3 Sc 0.500 0.000 0.500
4 Sc 0.000 0.500 0.500
5 Tl 0.873 0.873 0.244
6 Tl 0.127 0.127 0.756

Values from the calculation:
The value obtained for the volume is 171.5 Å³/cell.

=====

<S>
This record from OQMD via LeMat-Bulk describes a geometry-optimized NdScTl structure. The functional is GGA-PBE.

Cell lengths 5.260, 5.260, 6.676 Å; angles 90.00, 90.00, 120.00 degrees
Fractional positions:
1 Nd 0.000 0.000 0.000
2 Nd 0.000 0.000 0.500
3 Sc 0.333 0.667 0.250
4 Sc 0.667 0.333 0.750
5 Tl 0.667 0.333 0.250
6 Tl 0.333 0.667 0.750

Values from the calculation:
The value obtained for the volume is 160.0 Å³/cell.

=====

Quick look at relative energies in meV per atom: <P> 64; <Q> 289; <R> 0; <S> 33.